Material: TbEr5Hg4
Method: DFT, PBE
State: relaxed

Results
ρ	11.2	Mg/m³
energy of formation	-3.72	eV per formula unit
raw total energy	-3.24	eV per atom

The structure in CIF format:
```
data_TbEr5Hg4
_cell_length_a 3.6463
_cell_length_b 3.6463
_cell_length_c 20.0045
_cell_angle_alpha 90.00
_cell_angle_beta 90.00
_cell_angle_gamma 90.00
_space_group_name_H-M_alt 'P 4/m m m'
_space_group_IT_number 123
_space_group_name_Hall '-P 4 2'
loop_
_atom_site_label
_atom_site_fract_x
_atom_site_fract_y
_atom_site_fract_z
Tb1 0.0000 0.0000 0.0000
Er1 0.5000 0.5000 0.1232
Er2 0.5000 0.5000 0.3127
Er3 0.5000 0.5000 0.5000
Hg1 0.0000 0.0000 0.2164
Hg2 0.0000 0.0000 0.4054
```

=====

Material: Tb2Er2Hg3
Method: DFT, PBE
State: relaxed

Results
ρ	10.7	Mg/m³
energy of formation	-2.23	eV per formula unit
raw total energy	-3.07	eV per atom

The structure in CIF format:
```
data_Tb2Er2Hg3
_cell_length_a 8.9314
_cell_length_b 5.1784
_cell_length_c 8.9550
_cell_angle_alpha 90.00
_cell_angle_beta 109.35
_cell_angle_gamma 90.00
_space_group_name_H-M_alt 'C 1 2/m 1'
_space_group_IT_number 12
_space_group_name_Hall '-C 2y'
loop_
_atom_site_label
_atom_site_fract_x
_atom_site_fract_y
_atom_site_fract_z
Tb1 0.1274 0.0000 0.3813
Er1 0.1219 0.5000 0.8661
Hg1 0.0000 0.0000 0.0000
Hg2 0.2487 0.0000 0.7478
```

=====

Material: TbEr2Hg6
Method: DFT, PBE
State: relaxed

Results
ρ	12.6	Mg/m³
energy of formation	-3.50	eV per formula unit
raw total energy	-2.12	eV per atom

The structure in CIF format:
```
data_TbEr2Hg6
_cell_length_a 14.3347
_cell_length_b 11.6583
_cell_length_c 5.4163
_cell_angle_alpha 90.00
_cell_angle_beta 99.99
_cell_angle_gamma 90.00
_space_group_name_H-M_alt 'C 1 2/c 1'
_space_group_IT_number 15
_space_group_name_Hall '-C 2yc'
loop_
_atom_site_label
_atom_site_fract_x
_atom_site_fract_y
_atom_site_fract_z
Tb1 0.0000 0.1259 0.2500
Er1 0.1666 0.3750 0.0845
Hg1 0.0550 0.3758 0.5294
Hg2 0.1125 0.1261 0.8043
Hg3 0.2236 0.1255 0.3616
```

=====

Material: Tb3Er2Hg7
Method: DFT, PBE
State: relaxed

Results
ρ	11.5	Mg/m³
energy of formation	-3.70	eV per formula unit
raw total energy	-2.40	eV per atom

The structure in CIF format:
```
data_Tb3Er2Hg7
_cell_length_a 5.1582
_cell_length_b 22.8534
_cell_length_c 5.4450
_cell_angle_alpha 90.00
_cell_angle_beta 90.00
_cell_angle_gamma 90.00
_space_group_name_H-M_alt 'C m m m'
_space_group_IT_number 65
_space_group_name_Hall '-C 2 2'
loop_
_atom_site_label
_atom_site_fract_x
_atom_site_fract_y
_atom_site_fract_z
Tb1 0.0000 0.0000 0.0000
Tb2 0.0000 0.1668 0.0000
Er1 0.0000 0.3563 0.5000
Hg1 0.0000 0.0757 0.5000
Hg2 0.0000 0.2225 0.5000
Hg3 0.0000 0.4147 0.0000
Hg4 0.0000 0.5000 0.5000
```

=====

Material: Tb3Er3Hg2
Method: DFT, PBE
State: relaxed

Results
ρ	9.7	Mg/m³
energy of formation	-1.35	eV per formula unit
raw total energy	-3.69	eV per atom

The structure in CIF format:
```
data_Tb3Er3Hg2
_cell_length_a 5.1266
_cell_length_b 11.6328
_cell_length_c 15.7705
_cell_angle_alpha 90.00
_cell_angle_beta 90.00
_cell_angle_gamma 90.00
_space_group_name_H-M_alt 'C m c m'
_space_group_IT_number 63
_space_group_name_Hall '-C 2c 2'
loop_
_atom_site_label
_atom_site_fract_x
_atom_site_fract_y
_atom_site_fract_z
Tb1 0.0000 0.0410 0.1073
Tb2 0.0000 0.2820 0.2500
Er1 0.0000 0.3572 0.0337
Er2 0.0000 0.4293 0.7500
Hg1 0.0000 0.2289 0.6277
```

=====

Material: TbEr2Hg2
Method: DFT, PBE
State: relaxed

Results
ρ	11.2	Mg/m³
energy of formation	-1.94	eV per formula unit
raw total energy	-3.26	eV per atom

The structure in CIF format:
```
data_TbEr2Hg2
_cell_length_a 3.7202
_cell_length_b 5.2773
_cell_length_c 13.6782
_cell_angle_alpha 90.00
_cell_angle_beta 97.85
_cell_angle_gamma 90.00
_space_group_name_H-M_alt 'P 1 21/m 1'
_space_group_IT_number 11
_space_group_name_Hall '-P 2yb'
loop_
_atom_site_label
_atom_site_fract_x
_atom_site_fract_y
_atom_site_fract_z
Tb1 0.1468 0.2500 0.2931
Er1 0.0473 0.7500 0.0951
Er2 0.2357 0.7500 0.4718
Hg1 0.3561 0.2500 0.7117
Hg2 0.4535 0.7500 0.9065
```

=====

Material: TbErHg2
Method: DFT, PBE
State: relaxed

Results
ρ	11.8	Mg/m³
energy of formation	-1.92	eV per formula unit
raw total energy	-2.93	eV per atom

The structure in CIF format:
```
data_TbErHg2
_cell_length_a 3.7014
_cell_length_b 3.7014
_cell_length_c 7.4802
_cell_angle_alpha 90.00
_cell_angle_beta 90.00
_cell_angle_gamma 90.00
_space_group_name_H-M_alt 'P 4/m m m'
_space_group_IT_number 123
_space_group_name_Hall '-P 4 2'
loop_
_atom_site_label
_atom_site_fract_x
_atom_site_fract_y
_atom_site_fract_z
Tb1 0.0000 0.0000 0.0000
Er1 0.0000 0.0000 0.5000
Hg1 0.5000 0.5000 0.2578
```

=====

Material: TbErHg2
Method: DFT, PBE
State: relaxed

Results
ρ	10.9	Mg/m³
energy of formation	-1.33	eV per formula unit
raw total energy	-2.78	eV per atom

The structure in CIF format:
```
data_TbErHg2
_cell_length_a 6.4530
_cell_length_b 3.7172
_cell_length_c 9.4563
_cell_angle_alpha 90.00
_cell_angle_beta 103.29
_cell_angle_gamma 90.00
_space_group_name_H-M_alt 'C 1 m 1'
_space_group_IT_number 8
_space_group_name_Hall 'C -2y'
loop_
_atom_site_label
_atom_site_fract_x
_atom_site_fract_y
_atom_site_fract_z
Tb1 0.0000 0.0000 0.0000
Er1 0.1665 0.0000 0.4992
Hg1 0.0823 0.5000 0.7459
Hg2 0.2516 0.5000 0.2540
```

=====

Material: TbEr2Hg
Method: DFT, PBE
State: relaxed

Results
ρ	10.5	Mg/m³
energy of formation	-0.62	eV per formula unit
raw total energy	-3.67	eV per atom

The structure in CIF format:
```
data_TbEr2Hg
_cell_length_a 4.7938
_cell_length_b 4.7938
_cell_length_c 4.7624
_cell_angle_alpha 90.00
_cell_angle_beta 90.00
_cell_angle_gamma 90.00
_space_group_name_H-M_alt 'P 4/m m m'
_space_group_IT_number 123
_space_group_name_Hall '-P 4 2'
loop_
_atom_site_label
_atom_site_fract_x
_atom_site_fract_y
_atom_site_fract_z
Tb1 0.0000 0.0000 0.0000
Er1 0.0000 0.5000 0.5000
Hg1 0.5000 0.5000 0.0000
```

=====

Material: TbEr2Hg5
Method: DFT, PBE
State: relaxed

Results
ρ	12.7	Mg/m³
energy of formation	-3.36	eV per formula unit
raw total energy	-2.33	eV per atom

The structure in CIF format:
```
data_TbEr2Hg5
_cell_length_a 5.1863
_cell_length_b 5.1863
_cell_length_c 14.5473
_cell_angle_alpha 90.00
_cell_angle_beta 90.00
_cell_angle_gamma 90.00
_space_group_name_H-M_alt 'I 4/m m m'
_space_group_IT_number 139
_space_group_name_Hall '-I 4 2'
loop_
_atom_site_label
_atom_site_fract_x
_atom_site_fract_y
_atom_site_fract_z
Tb1 0.0000 0.0000 0.0000
Er1 0.0000 0.0000 0.2643
Hg1 0.0000 0.0000 0.5000
Hg2 0.0000 0.5000 0.1265
```

=====

Material: Tb7ErHg4
Method: DFT, PBE
State: relaxed

Results
ρ	10.0	Mg/m³
energy of formation	-1.27	eV per formula unit
raw total energy	-3.29	eV per atom

The structure in CIF format:
```
data_Tb7ErHg4
_cell_length_a 14.6450
_cell_length_b 5.6937
_cell_length_c 9.7920
_cell_angle_alpha 90.00
_cell_angle_beta 122.38
_cell_angle_gamma 90.00
_space_group_name_H-M_alt 'C 1 2/m 1'
_space_group_IT_number 12
_space_group_name_Hall '-C 2y'
loop_
_atom_site_label
_atom_site_fract_x
_atom_site_fract_y
_atom_site_fract_z
Tb1 0.0000 0.0000 0.0000
Tb2 0.0657 0.5000 0.4037
Tb3 0.2088 0.5000 0.8862
Tb4 0.2331 0.0000 0.6858
Er1 0.0000 0.5000 0.0000
Hg1 0.0471 0.0000 0.7268
Hg2 0.1884 0.0000 0.3407
```

=====

Material: TbEr2Hg3
Method: DFT, PBE
State: relaxed

Results
ρ	11.9	Mg/m³
energy of formation	-2.88	eV per formula unit
raw total energy	-2.92	eV per atom

The structure in CIF format:
```
data_TbEr2Hg3
_cell_length_a 3.7108
_cell_length_b 3.7108
_cell_length_c 11.0987
_cell_angle_alpha 90.00
_cell_angle_beta 90.00
_cell_angle_gamma 90.00
_space_group_name_H-M_alt 'P 4/m m m'
_space_group_IT_number 123
_space_group_name_Hall '-P 4 2'
loop_
_atom_site_label
_atom_site_fract_x
_atom_site_fract_y
_atom_site_fract_z
Tb1 0.0000 0.0000 0.0000
Er1 0.0000 0.0000 0.3347
Hg1 0.5000 0.5000 0.1710
Hg2 0.5000 0.5000 0.5000
```